Arrangement P

The following is a DFT calculation (PBE) of MgTl2Mo after structural relaxation.

As for the magnetization: 1.30 μB/f.u. Its crystal system is orthorhombic. The calculated volume is 86.3 Å³/cell.

The space group is Pmm2 (No. 25) and the conventional cell measures 3.549, 4.018 and 6.049 Å, with angles of 90.00, 90.00 and 90.00 degrees. The asymmetric unit holds Mg at (0.000, 0.000, 0.000), Tl at (0.000, 0.000, 0.458), Tl at (0.500, 0.500, 0.752) and Mo at (0.500, 0.500, 0.237).


Arrangement Q

The following is a DFT calculation (PBE) of MgTl2Mo after structural relaxation.

As for the magnetization: 0.00 μB/f.u. Its crystal system is orthorhombic. The calculated volume is 83.0 Å³/cell.

The space group is Pmmm (No. 47) and the conventional cell measures 3.282, 4.032 and 6.268 Å, with angles of 90.00, 90.00 and 90.00 degrees. The asymmetric unit holds Mg at (0.000, 0.000, 0.000), Tl at (0.500, 0.500, 0.257) and Mo at (0.000, 0.000, 0.500).


Arrangement R

The following is a DFT calculation (PBE) of MgTl2Mo after structural relaxation.

As for the magnetization: 0.00 μB/f.u. Its crystal system is orthorhombic. The calculated volume is 173.3 Å³/cell.

The space group is Cmmm (No. 65) and the conventional cell measures 3.687, 5.016 and 9.369 Å, with angles of 90.00, 90.00 and 90.00 degrees. The asymmetric unit holds Mg at (0.000, 0.000, 0.000), Tl at (0.000, 0.500, 0.260) and Mo at (0.000, 0.000, 0.500).


Pick arrangement Q: it beats the second-best structure by 0.8 kJ/mol of atoms.


Arrangement P

The following is a DFT calculation (PBE) of MgTlMo after structural relaxation.

As for the magnetization: 0.00 μB/f.u. Its crystal system is trigonal. The calculated volume is 60.4 Å³/cell.

The space group is P3m1 (No. 156) and the conventional cell measures 3.0764, 3.0764 and 7.3706 Å, with angles of 90.00, 90.00 and 120.00 degrees. The asymmetric unit holds Mg at (0.0000, 0.0000, 0.0000), Tl at (0.3333, 0.6667, 0.6378) and Mo at (0.6667, 0.3333, 0.3073).


Arrangement Q

The following is a DFT calculation (PBE) of MgTlMo after structural relaxation.

As for the magnetization: 2.45 μB/f.u. Its crystal system is cubic. The calculated volume is 291.4 Å³/cell.

The space group is F-43m (No. 216) and the conventional cell measures 6.630, 6.630 and 6.630 Å, with angles of 90.00, 90.00 and 90.00 degrees. The asymmetric unit holds Mg at (0.000, 0.000, 0.000), Tl at (0.000, 0.000, 0.500) and Mo at (0.250, 0.250, 0.750).


Pick arrangement P: it beats the second-best structure by 41.7 kJ/mol of atoms.


Arrangement P

The following is a DFT calculation (PBE) of MgTlMo after structural relaxation.

As for the magnetization: 0.00 μB/f.u. Its crystal system is orthorhombic. The calculated volume is 240.8 Å³/cell.

The space group is Fmm2 (No. 42) and the conventional cell measures 3.636, 4.625 and 14.322 Å, with angles of 90.00, 90.00 and 90.00 degrees. The asymmetric unit holds Mg at (0.000, 0.000, 0.000), Tl at (0.000, 0.000, 0.685) and Mo at (0.000, 0.000, 0.351).


Arrangement Q

The following is a DFT calculation (PBE) of MgTlMo after structural relaxation.

As for the magnetization: 0.00 μB/f.u. Its crystal system is orthorhombic. The calculated volume is 116.2 Å³/cell.

The space group is Imm2 (No. 44) and the conventional cell measures 3.013, 3.948 and 9.773 Å, with angles of 90.00, 90.00 and 90.00 degrees. The asymmetric unit holds Mg at (0.000, 0.000, 0.000), Tl at (0.000, 0.000, 0.324) and Mo at (0.000, 0.000, 0.651).


Pick arrangement P: it beats the second-best structure by 8.3 kJ/mol of atoms.


Arrangement P

The following is a DFT calculation (PBE) of MgTl3Mo after structural relaxation.

As for the magnetization: 4.42 μB/f.u. Its crystal system is cubic. The calculated volume is 158.7 Å³/cell.

The space group is Pm-3m (No. 221) and the conventional cell measures 5.414, 5.414 and 5.414 Å, with angles of 90.00, 90.00 and 90.00 degrees. The asymmetric unit holds Mg at (0.000, 0.000, 0.000), Tl at (0.000, 0.000, 0.500) and Mo at (0.500, 0.500, 0.500).


Arrangement Q

The following is a DFT calculation (PBE) of MgTl3Mo after structural relaxation.

As for the magnetization: 1.43 μB/f.u. Its crystal system is cubic. The calculated volume is 159.9 Å³/cell.

The space group is Pm-3m (No. 221) and the conventional cell measures 5.428, 5.428 and 5.428 Å, with angles of 90.00, 90.00 and 90.00 degrees. The asymmetric unit holds Mg at (0.000, 0.000, 0.000), Tl at (0.000, 0.500, 0.500) and Mo at (0.500, 0.500, 0.500).


Pick arrangement Q: it beats the second-best structure by 41.9 kJ/mol of atoms.


Arrangement P

The following is a DFT calculation (PBE) of Mg6VMo after structural relaxation.

As for the magnetization: 1.73 μB/f.u. Its crystal system is orthorhombic. The calculated volume is 313.7 Å³/cell.

The space group is Amm2 (No. 38) and the conventional cell measures 4.933, 5.834 and 10.900 Å, with angles of 90.00, 90.00 and 90.00 degrees. The asymmetric unit holds Mg at (0.000, 0.000, 0.000), Mg at (0.000, 0.000, 0.500), Mg at (0.000, 0.245, 0.266), Mg at (0.500, 0.250, 0.105), V at (0.500, 0.000, 0.853) and Mo at (0.500, 0.000, 0.356).


Arrangement Q

The following is a DFT calculation (PBE) of Mg6VMo after structural relaxation.

As for the magnetization: 1.46 μB/f.u. Its crystal system is orthorhombic. The calculated volume is 310.7 Å³/cell.

The space group is Amm2 (No. 38) and the conventional cell measures 4.750, 5.951 and 10.991 Å, with angles of 90.00, 90.00 and 90.00 degrees. The asymmetric unit holds Mg at (0.000, 0.000, 0.000), Mg at (0.000, 0.240, 0.249), Mg at (0.500, 0.000, 0.844), Mg at (0.500, 0.242, 0.597), V at (0.000, 0.000, 0.477) and Mo at (0.500, 0.000, 0.367).


Pick arrangement Q: it beats the second-best structure by 6.9 kJ/mol of atoms.


Arrangement P

The following is a DFT calculation (PBE) of Mg2VMo after structural relaxation.

As for the magnetization: 1.20 μB/f.u. Its crystal system is cubic. The calculated volume is 285.5 Å³/cell.

The space group is Fm-3m (No. 225) and the conventional cell measures 6.585, 6.585 and 6.585 Å, with angles of 90.00, 90.00 and 90.00 degrees. The asymmetric unit holds Mg at (0.250, 0.250, 0.250), V at (0.000, 0.000, 0.000) and Mo at (0.000, 0.000, 0.500).


Arrangement Q

The following is a DFT calculation (PBE) of Mg2VMo after structural relaxation.

As for the magnetization: 1.45 μB/f.u. Its crystal system is tetragonal. The calculated volume is 288.1 Å³/cell.

The space group is I-42d (No. 122) and the conventional cell measures 7.390, 7.390 and 5.276 Å, with angles of 90.00, 90.00 and 90.00 degrees. The asymmetric unit holds Mg at (0.247, 0.250, 0.125), V at (0.000, 0.000, 0.000) and Mo at (0.000, 0.000, 0.500).


Pick arrangement P: it beats the second-best structure by 25.4 kJ/mol of atoms.


Arrangement P

The following is a DFT calculation (PBE) of Mg2MoW after structural relaxation.

As for the magnetization: 0.00 μB/f.u. Its crystal system is tetragonal. The calculated volume is 74.1 Å³/cell.

The space group is P4mm (No. 99) and the conventional cell measures 3.293, 3.293 and 6.829 Å, with angles of 90.00, 90.00 and 90.00 degrees. The asymmetric unit holds Mg at (0.000, 0.000, 0.000), Mg at (0.500, 0.500, 0.285), Mo at (0.000, 0.000, 0.556) and W at (0.500, 0.500, 0.728).


Arrangement Q

The following is a DFT calculation (PBE) of Mg2MoW after structural relaxation.

As for the magnetization: 0.00 μB/f.u. Its crystal system is orthorhombic. The calculated volume is 70.3 Å³/cell.

The space group is Pmm2 (No. 25) and the conventional cell measures 2.728, 4.337 and 5.941 Å, with angles of 90.00, 90.00 and 90.00 degrees. The asymmetric unit holds Mg at (0.000, 0.000, 0.000), Mg at (0.500, 0.500, 0.249), Mo at (0.000, 0.000, 0.521) and W at (0.500, 0.500, 0.730).


Arrangement R

The following is a DFT calculation (PBE) of Mg2MoW after structural relaxation.

As for the magnetization: 0.00 μB/f.u. Its crystal system is tetragonal. The calculated volume is 68.4 Å³/cell.

The space group is P4/mmm (No. 123) and the conventional cell measures 3.835, 3.835 and 4.650 Å, with angles of 90.00, 90.00 and 90.00 degrees. The asymmetric unit holds Mg at (0.000, 0.500, 0.000), Mo at (0.000, 0.000, 0.500) and W at (0.500, 0.500, 0.500).


Arrangement S

The following is a DFT calculation (PBE) of Mg2MoW after structural relaxation.

As for the magnetization: 0.00 μB/f.u. Its crystal system is tetragonal. The calculated volume is 291.5 Å³/cell.

The space group is I-42d (No. 122) and the conventional cell measures 7.413, 7.413 and 5.304 Å, with angles of 90.00, 90.00 and 90.00 degrees. The asymmetric unit holds Mg at (0.246, 0.750, 0.125), Mo at (0.000, 0.000, 0.000) and W at (0.000, 0.000, 0.500).


Pick arrangement P: it beats the second-best structure by 14.8 kJ/mol of atoms.


Arrangement P

The following is a DFT calculation (PBE) of Mg2MoW after structural relaxation.

As for the magnetization: 0.00 μB/f.u. Its crystal system is cubic. The calculated volume is 270.6 Å³/cell.

The space group is F-43m (No. 216) and the conventional cell measures 6.468, 6.468 and 6.468 Å, with angles of 90.00, 90.00 and 90.00 degrees. The asymmetric unit holds Mg at (0.000, 0.000, 0.000), Mg at (0.250, 0.250, 0.250), Mo at (0.250, 0.250, 0.750) and W at (0.000, 0.000, 0.500).


Arrangement Q

The following is a DFT calculation (PBE) of Mg2MoW after structural relaxation.

As for the magnetization: 0.00 μB/f.u. Its crystal system is monoclinic. The calculated volume is 138.7 Å³/cell.

The space group is Cm (No. 8) and the conventional cell measures 9.404, 2.731 and 5.410 Å, with angles of 90.00, 93.28 and 90.00 degrees. The asymmetric unit holds Mg at (0.000, 0.000, 0.000), Mg at (0.246, 0.000, 0.755), Mo at (0.000, 0.500, 0.481) and W at (0.245, 0.500, 0.273).


Pick arrangement Q: it beats the second-best structure by 2.3 kJ/mol of atoms.


Arrangement P

The following is a DFT calculation (PBE) of Mg2MoW after structural relaxation.

As for the magnetization: 0.77 μB/f.u. Its crystal system is cubic. The calculated volume is 272.0 Å³/cell.

The space group is Fm-3m (No. 225) and the conventional cell measures 6.479, 6.479 and 6.479 Å, with angles of 90.00, 90.00 and 90.00 degrees. The asymmetric unit holds Mg at (0.250, 0.250, 0.250), Mo at (0.000, 0.000, 0.000) and W at (0.000, 0.000, 0.500).


Arrangement Q

The following is a DFT calculation (PBE) of Mg2MoW after structural relaxation.

As for the magnetization: 0.00 μB/f.u. Its crystal system is monoclinic. The calculated volume is 136.6 Å³/cell.

The space group is C2/m (No. 12) and the conventional cell measures 5.437, 9.422 and 2.718 Å, with angles of 90.00, 101.18 and 90.00 degrees. The asymmetric unit holds Mg at (0.250, 0.250, 0.000), Mo at (0.000, 0.000, 0.500) and W at (0.000, 0.500, 0.500).


Arrangement R

The following is a DFT calculation (PBE) of Mg2MoW after structural relaxation.

As for the magnetization: 0.02 μB/f.u. Its crystal system is trigonal. The calculated volume is 208.5 Å³/cell.

The space group is R-3m (No. 166, hexagonal axes) and the conventional cell measures 2.8616, 2.8616 and 29.3947 Å, with angles of 90.00, 90.00 and 120.00 degrees. The asymmetric unit holds Mg at (0.0000, 0.0000, 0.2504), Mo at (0.0000, 0.0000, 0.0000) and W at (0.0000, 0.0000, 0.5000).


Pick arrangement Q: it beats the second-best structure by 12.2 kJ/mol of atoms.


Arrangement P

The following is a DFT calculation (PBE) of MgMo3W after structural relaxation.

As for the magnetization: 0.00 μB/f.u. Its crystal system is cubic. The calculated volume is 90.2 Å³/cell.

The space group is Pm-3m (No. 221) and the conventional cell measures 4.485, 4.485 and 4.485 Å, with angles of 90.00, 90.00 and 90.00 degrees. The asymmetric unit holds Mg at (0.000, 0.000, 0.000), Mo at (0.000, 0.000, 0.500) and W at (0.500, 0.500, 0.500).


Arrangement Q

The following is a DFT calculation (PBE) of MgMo3W after structural relaxation.

As for the magnetization: 0.00 μB/f.u. Its crystal system is cubic. The calculated volume is 109.9 Å³/cell.

The space group is Pm-3m (No. 221) and the conventional cell measures 4.790, 4.790 and 4.790 Å, with angles of 90.00, 90.00 and 90.00 degrees. The asymmetric unit holds Mg at (0.000, 0.000, 0.000), Mo at (0.000, 0.500, 0.500) and W at (0.500, 0.500, 0.500).


Pick arrangement Q: it beats the second-best structure by 62.7 kJ/mol of atoms.


Arrangement P

The following is a DFT calculation (PBE) of Mg2Mo2W after structural relaxation.

As for the magnetization: 0.00 μB/f.u. Its crystal system is tetragonal. The calculated volume is 184.8 Å³/cell.

The space group is I4/mmm (No. 139) and the conventional cell measures 3.593, 3.593 and 14.311 Å, with angles of 90.00, 90.00 and 90.00 degrees. The asymmetric unit holds Mg at (0.000, 0.500, 0.250), Mo at (0.000, 0.000, 0.083) and W at (0.000, 0.000, 0.500).


Arrangement Q

The following is a DFT calculation (PBE) of Mg2Mo2W after structural relaxation.

As for the magnetization: 0.00 μB/f.u. Its crystal system is tetragonal. The calculated volume is 176.4 Å³/cell.

The space group is I4/mmm (No. 139) and the conventional cell measures 3.671, 3.671 and 13.083 Å, with angles of 90.00, 90.00 and 90.00 degrees. The asymmetric unit holds Mg at (0.000, 0.000, 0.093), Mo at (0.000, 0.500, 0.250) and W at (0.000, 0.000, 0.500).


Pick arrangement P: it beats the second-best structure by 20.0 kJ/mol of atoms.


Arrangement P

The following is a DFT calculation (PBE) of YMgMo after structural relaxation.

As for the magnetization: 0.00 μB/f.u. Its crystal system is orthorhombic. The calculated volume is 261.7 Å³/cell.

The space group is Fmm2 (No. 42) and the conventional cell measures 3.816, 4.713 and 14.550 Å, with angles of 90.00, 90.00 and 90.00 degrees. The asymmetric unit holds Y at (0.000, 0.000, 0.000), Mg at (0.000, 0.000, 0.302) and Mo at (0.000, 0.000, 0.655).


Arrangement Q

The following is a DFT calculation (PBE) of YMgMo after structural relaxation.

As for the magnetization: 0.00 μB/f.u. Its crystal system is tetragonal. The calculated volume is 129.4 Å³/cell.

The space group is I4mm (No. 107) and the conventional cell measures 2.988, 2.988 and 14.490 Å, with angles of 90.00, 90.00 and 90.00 degrees. The asymmetric unit holds Y at (0.000, 0.000, 0.000), Mg at (0.000, 0.000, 0.306) and Mo at (0.000, 0.000, 0.660).


Pick arrangement Q: it beats the second-best structure by 0.6 kJ/mol of atoms.